[1]
Here is an optimized crystal structure of Sr5Cd2Pt from Alexandria. Energies are from PBE.

- energy (eV per atom) = -2.45
- DOS(E_F) (states/eV/atom) = 0.76
- magnetic moment (μB per cell) = 0.000
- SG = Pbam, No. 55

Cell: 9.4043 13.8450 4.6800 Å, 90.00 90.00 90.00°
Last column: nearest neighbours and their distance in Å.
Fractional coordinates of all 16 atoms:
1 Sr 0.0000 0.0000 0.0000  4 Cd 3.40
2 Sr 0.1528 0.3093 0.0000  1 Pt 3.01
3 Sr 0.1731 0.5776 0.5000  2 Pt 3.05
4 Sr 0.3269 0.0776 0.5000  2 Pt 3.05
5 Sr 0.3472 0.8093 0.0000  1 Pt 3.01
6 Sr 0.5000 0.5000 0.0000  4 Cd 3.40
7 Sr 0.6528 0.1907 0.0000  1 Pt 3.01
8 Sr 0.6731 0.9224 0.5000  2 Pt 3.05
9 Sr 0.8269 0.4224 0.5000  2 Pt 3.05
10 Sr 0.8472 0.6907 0.0000  1 Pt 3.01
11 Cd 0.0555 0.8255 0.5000  7 Sr 3.40-3.61
12 Cd 0.4445 0.3255 0.5000  7 Sr 3.40-3.61
13 Cd 0.5555 0.6745 0.5000  7 Sr 3.40-3.61
14 Cd 0.9445 0.1745 0.5000  7 Sr 3.40-3.61
15 Pt 0.0000 0.5000 0.0000  6 Sr 3.01-3.05
16 Pt 0.5000 0.0000 0.0000  6 Sr 3.01-3.05

[2]
Here is an optimized crystal structure of Nb12IrW6 from Alexandria. Energies are from PBE.

- energy (eV per atom) = -10.56
- DOS(E_F) (states/eV/atom) = 1.13
- magnetic moment (μB per cell) = 0.000
- SG = R-3, No. 148

Cell: 7.4466 7.4466 7.4466 Å, 106.43 106.43 106.43°
Last column: nearest neighbours and their distance in Å.
Fractional coordinates of all 19 atoms:
1 Nb 0.0057 0.1300 0.6776  2 W 2.66-2.84, 5 Nb 2.76-2.96, 1 Ir 2.84
2 Nb 0.0840 0.3015 0.3822  2 W 2.64-2.73, 1 Ir 2.85, 3 Nb 2.87-2.95
3 Nb 0.1300 0.6776 0.0057  2 W 2.66-2.84, 5 Nb 2.76-2.96, 1 Ir 2.84
4 Nb 0.3015 0.3822 0.0840  2 W 2.64-2.73, 1 Ir 2.85, 3 Nb 2.87-2.95
5 Nb 0.3224 0.9943 0.8700  2 W 2.66-2.84, 5 Nb 2.76-2.96, 1 Ir 2.84
6 Nb 0.3822 0.0840 0.3015  2 W 2.64-2.73, 1 Ir 2.85, 3 Nb 2.87-2.95
7 Nb 0.6178 0.9160 0.6985  2 W 2.64-2.73, 1 Ir 2.85, 3 Nb 2.87-2.95
8 Nb 0.6776 0.0057 0.1300  2 W 2.66-2.84, 5 Nb 2.76-2.96, 1 Ir 2.84
9 Nb 0.6985 0.6178 0.9160  2 W 2.64-2.73, 1 Ir 2.85, 3 Nb 2.87-2.95
10 Nb 0.8700 0.3224 0.9943  2 W 2.66-2.84, 5 Nb 2.76-2.96, 1 Ir 2.84
11 Nb 0.9160 0.6985 0.6178  2 W 2.64-2.73, 1 Ir 2.85, 3 Nb 2.87-2.95
12 Nb 0.9943 0.8700 0.3224  2 W 2.66-2.84, 5 Nb 2.76-2.96, 1 Ir 2.84
13 Ir 0.0000 0.0000 0.0000  12 Nb 2.84-2.85
14 W 0.2380 0.6765 0.4023  4 Nb 2.64-2.84, 2 W 2.84
15 W 0.3235 0.5977 0.7620  4 Nb 2.64-2.84, 2 W 2.84
16 W 0.4023 0.2380 0.6765  4 Nb 2.64-2.84, 2 W 2.84
17 W 0.5977 0.7620 0.3235  4 Nb 2.64-2.84, 2 W 2.84
18 W 0.6765 0.4023 0.2380  4 Nb 2.64-2.84, 2 W 2.84
19 W 0.7620 0.3235 0.5977  4 Nb 2.64-2.84, 2 W 2.84

Among the records above, which one has the highest energy?
Sr5Cd2Pt